Entry from Alexandria via LeMat-Bulk: crystalline HfIn2 at its relaxed geometry (PBE).

Computed properties:
V   71.6 Å³ per cell
Magnetic moment   0.00 Bohr magnetons per cell
SG   No. 123
DFT formation energy   -7.3 kJ per mole of atoms

Structure (extended XYZ):
```
3
Lattice="-0.528 -2.331 -2.008 2.008 -1.807 1.564 -5.487 -2.415 4.250" Properties=species:S:1:pos:R:3 pbc="T T T"
Hf 0.740 -2.069 -0.222
In -1.662 -0.733 1.288
In -2.345 -5.819 2.518
```

Entry from Alexandria via LeMat-Bulk: crystalline HfIn at its relaxed geometry (PBE).

Computed properties:
V   195.9 Å³ per cell
Magnetic moment   0.00 Bohr magnetons per cell
SG   No. 225
DFT formation energy   33.1 kJ per mole of atoms

Structure (extended XYZ):
```
8
Lattice="-2.785 0.954 5.006 -5.077 -0.026 -2.820 -0.440 -5.729 0.846" Properties=species:S:1:pos:R:3 pbc="T T T"
Hf 0.000 0.000 0.000
Hf -2.759 -2.878 -0.987
Hf -1.613 -2.388 2.926
Hf -3.931 0.464 1.093
In -4.151 -2.401 1.516
In -1.393 0.477 2.503
In -2.539 -0.013 -1.410
In -0.220 -2.864 0.423
```

Entry from Alexandria via LeMat-Bulk: crystalline Hf6In5 at its relaxed geometry (PBE).

Computed properties:
V   255.4 Å³ per cell
Magnetic moment   0.00 Bohr magnetons per cell
SG   No. 12
DFT formation energy   5.8 kJ per mole of atoms

Structure (extended XYZ):
```
11
Lattice="7.980 0.000 -0.851 3.990 5.552 -0.426 2.162 0.000 5.534" Properties=species:S:1:pos:R:3 pbc="T T T"
Hf 8.247 0.000 3.190
Hf 1.895 0.000 1.493
Hf 7.182 4.079 4.017
Hf 10.940 4.079 -0.186
Hf 6.950 1.473 0.240
Hf 3.191 1.473 4.443
In 5.071 0.000 2.341
In 3.990 1.465 -0.426
In 7.980 4.087 -0.851
In 5.071 2.909 2.341
In 9.061 2.642 1.916
```